Density functional theory data (PBE-GGA) for a relaxed structure of BaAgSN2.

Results
Offset from the most stable computed form = 0.0 meV per atom
E = -21.75 eV for the cell shown
Crystal system = tetragonal
SG = P4/mmm

Cell: 4.414 4.414 5.103 Å, 90.00 90.00 90.00°
Atoms (fractional coordinates):
S: 0.000 0.000 0.500
Ba: 0.500 0.500 0.500
Ag: 0.000 0.000 0.000
N: 0.000 0.500 0.000
N: 0.500 0.000 0.000


Density functional theory data (PBE-GGA) for a relaxed structure of BaAgSN2.

Results
Offset from the most stable computed form = 275.2 meV per atom
E = -20.38 eV for the cell shown
Crystal system = tetragonal
SG = P4/mmm

Cell: 4.463 4.463 4.498 Å, 90.00 90.00 90.00°
Atoms (fractional coordinates):
S: 0.000 0.000 0.000
Ba: 0.500 0.500 0.500
Ag: 0.000 0.000 0.500
N: 0.000 0.500 0.000
N: 0.500 0.000 0.000


Density functional theory data (PBE-GGA) for a relaxed structure of BaAgSN2.

Results
Offset from the most stable computed form = 841.4 meV per atom
E = -17.55 eV for the cell shown
Crystal system = tetragonal
SG = P4/mmm

Cell: 5.204 5.204 6.148 Å, 90.00 90.00 90.00°
Atoms (fractional coordinates):
S: 0.000 0.000 0.500
Ba: 0.000 0.000 0.000
Ag: 0.500 0.500 0.500
N: 0.000 0.500 0.000
N: 0.500 0.000 0.000


Density functional theory data (PBE-GGA) for a relaxed structure of Ba2AgSbN.

Results
E = -21.18 eV for the cell shown
Crystal system = tetragonal
SG = P4/mmm

Cell: 5.891 5.891 4.187 Å, 90.00 90.00 90.00°
Atoms (fractional coordinates):
Sb: 0.500 0.500 0.500
Ba: 0.000 0.500 0.000
Ba: 0.500 0.000 0.000
Ag: 0.000 0.000 0.500
N: 0.000 0.000 0.000


Density functional theory data (PBE-GGA) for a relaxed structure of BaAgSe2N.

Results
Offset from the most stable computed form = 0.0 meV per atom
E = -19.89 eV for the cell shown
Crystal system = tetragonal
SG = P4/mmm

Cell: 5.380 5.380 4.259 Å, 90.00 90.00 90.00°
Atoms (fractional coordinates):
Se: 0.000 0.500 0.000
Se: 0.500 0.000 0.000
Ba: 0.500 0.500 0.500
Ag: 0.000 0.000 0.000
N: 0.000 0.000 0.500


Density functional theory data (PBE-GGA) for a relaxed structure of BaAgSe2N.

Results
Offset from the most stable computed form = 912.8 meV per atom
E = -15.33 eV for the cell shown
Crystal system = tetragonal
SG = P4/mmm

Cell: 6.213 6.213 5.224 Å, 90.00 90.00 90.00°
Atoms (fractional coordinates):
Se: 0.000 0.500 0.000
Se: 0.500 0.000 0.000
Ba: 0.000 0.000 0.000
Ag: 0.500 0.500 0.500
N: 0.000 0.000 0.500


Density functional theory data (PBE-GGA) for a relaxed structure of Ba2AgSnN.

Results
E = -15.38 eV for the cell shown
Crystal system = tetragonal
SG = P4/mmm

Cell: 6.317 4.965 6.317 Å, 90.00 90.00 90.00°
Atoms (fractional coordinates):
N: 0.500 0.500 0.500
Ba: 0.000 0.000 0.500
Ba: 0.500 0.000 0.000
Ag: 0.000 0.000 0.000
Sn: 0.000 0.500 0.000


Density functional theory data (PBE-GGA) for a relaxed structure of Ba2TcAgN.

Results
E = -26.18 eV for the cell shown
Crystal system = tetragonal
SG = P4/mmm

Cell: 5.878 5.878 3.881 Å, 90.00 90.00 90.00°
Atoms (fractional coordinates):
N: 0.000 0.000 0.000
Ba: 0.000 0.500 0.000
Ba: 0.500 0.000 0.000
Ag: 0.500 0.500 0.500
Tc: 0.000 0.000 0.500


no.,uncorrected formation energy (eV per atom)
1,0.76
2,1.03
3,1.60
4,-0.41
5,0.04
6,0.95
7,0.73
8,-0.16